(1)
Below is a crystal of KHf2I relaxed with PBEsol, with properties calculated at the meta-GGA SCAN level.

Cell: 5.186 5.186 5.186 Å, 60.00 60.00 60.00°
Positions (direct):
K  0.000  0.000  0.000
I  0.500  0.500  0.500
Hf  0.750  0.750  0.750
Hf  0.250  0.250  0.250

Uncorrected energy, eV/atom: -41.375
Space-group type: Fm-3m
DOS(E_F), states/eV per atom: 0.66

---

(2)
Below is a crystal of KHfIN2 relaxed with PBEsol, with properties calculated at the meta-GGA SCAN level.

Cell: 4.325 4.325 5.526 Å, 90.00 90.00 90.00°
Each line ends with the local moment (μB).
Positions (direct):
I  0.000  0.000  0.500  0.02
Hf  0.500  0.500  0.500  -1.18
N  0.000  0.500  0.000  1.39
N  0.500  0.000  0.000  1.39
K  0.000  0.000  0.000  0.19

Uncorrected energy, eV/atom: -23.052
Space-group type: P4/mmm
DOS(E_F), states/eV per atom: 0.47

---

(3)
Below is a crystal of KNaHfI2 relaxed with PBEsol, with properties calculated at the meta-GGA SCAN level.

Cell: 5.604 5.604 6.109 Å, 90.00 90.00 90.00°
Each line ends with the local moment (μB).
Positions (direct):
Na  0.000  0.000  0.500  0.00
I  0.500  0.000  0.000  0.00
I  0.000  0.500  0.000  0.00
K  0.500  0.500  0.500  0.00
Hf  0.000  0.000  0.000  0.05

Uncorrected energy, eV/atom: -29.827
Space-group type: P4/mmm
DOS(E_F), states/eV per atom: 0.75

---

(4)
Below is a crystal of KHfSbI2 relaxed with PBEsol, with properties calculated at the meta-GGA SCAN level.

Cell: 5.531 5.732 5.732 Å, 90.00 90.00 90.00°
Positions (direct):
K  0.500  0.500  0.500
I  0.000  0.500  0.000
I  0.000  0.000  0.500
Hf  0.000  0.000  0.000
Sb  0.500  0.000  0.000

Uncorrected energy, eV/atom: -36.904
Space-group type: P4/mmm
DOS(E_F), states/eV per atom: 0.45

---

(5)
Below is a crystal of LaHfI2O relaxed with PBEsol, with properties calculated at the meta-GGA SCAN level.

Cell: 4.182 6.330 6.330 Å, 90.00 90.00 90.00°
Each line ends with the local moment (μB).
Positions (direct):
Hf  0.500  0.500  0.500  -1.16
I  0.000  0.500  0.000  -0.02
I  0.000  0.000  0.500  -0.02
O  0.500  0.000  0.000  -0.01
La  0.000  0.000  0.000  -0.01

Uncorrected energy, eV/atom: -37.874
Space-group type: P4/mmm
DOS(E_F), states/eV per atom: 0.41

---

(6)
Below is a crystal of LaHfIO2 relaxed with PBEsol, with properties calculated at the meta-GGA SCAN level.

Cell: 4.205 4.205 5.710 Å, 90.00 90.00 90.00°
Positions (direct):
La  0.500  0.500  0.500
Hf  0.000  0.000  0.000
O  0.000  0.500  0.000
O  0.500  0.000  0.000
I  0.000  0.000  0.500

Uncorrected energy, eV/atom: -32.871
Space-group type: P4/mmm
DOS(E_F), states/eV per atom: 0.62

---

(7)
Below is a crystal of LaHfSb2I relaxed with PBEsol, with properties calculated at the meta-GGA SCAN level.

Cell: 5.814 5.913 5.913 Å, 90.00 90.00 90.00°
Each line ends with the local moment (μB).
Positions (direct):
La  0.000  0.000  0.000  0.02
Sb  0.000  0.500  0.000  0.12
Sb  0.000  0.000  0.500  0.12
I  0.500  0.000  0.000  0.03
Hf  0.500  0.500  0.500  -1.07

Uncorrected energy, eV/atom: -42.619
Space-group type: P4/mmm
DOS(E_F), states/eV per atom: 0.99

---

(8)
Below is a crystal of Li2HfI relaxed with PBEsol, with properties calculated at the meta-GGA SCAN level.

Cell: 4.811 4.811 4.811 Å, 60.00 60.00 60.00°
Positions (direct):
Hf  0.500  0.500  0.500
I  0.000  0.000  0.000
Li  0.750  0.750  0.750
Li  0.250  0.250  0.250

Excess energy over the best structure of this formula in the dataset, eV/atom: 0.300
Space-group type: Fm-3m
DOS(E_F), states/eV per atom: 0.73

---

(9)
Below is a crystal of Li2HfI relaxed with PBEsol, with properties calculated at the meta-GGA SCAN level.

Cell: 5.589 6.192 6.192 Å, 78.25 63.17 63.17°
Positions (direct):
Hf  0.000  0.000  0.000
Hf  0.750  0.500  0.500
I  0.500  0.000  0.000
I  0.250  0.500  0.500
Li  0.162  0.463  0.963
Li  0.875  0.963  0.537
Li  0.588  0.537  0.037
Li  0.375  0.037  0.463

Excess energy over the best structure of this formula in the dataset, eV/atom: 0.000
Space-group type: I-42d
DOS(E_F), states/eV per atom: 0.64

---

(10)
Below is a crystal of LiHfI2N relaxed with PBEsol, with properties calculated at the meta-GGA SCAN level.

Cell: 3.987 5.809 5.809 Å, 90.00 90.00 90.00°
Each line ends with the local moment (μB).
Positions (direct):
I  0.000  0.500  0.000  0.00
I  0.000  0.000  0.500  0.00
Hf  0.000  0.000  0.000  0.02
N  0.500  0.000  0.000  0.07
Li  0.500  0.500  0.500  0.00

Uncorrected energy, eV/atom: -30.165
Space-group type: P4/mmm
DOS(E_F), states/eV per atom: 0.25

---

(11)
Below is a crystal of LiHfIO2 relaxed with PBEsol, with properties calculated at the meta-GGA SCAN level.

Cell: 4.020 4.020 5.928 Å, 90.00 90.00 90.00°
Positions (direct):
I  0.000  0.000  0.500
O  0.000  0.500  0.000
O  0.500  0.000  0.000
Li  0.500  0.500  0.500
Hf  0.000  0.000  0.000

Uncorrected energy, eV/atom: -25.053
Space-group type: P4/mmm
DOS(E_F), states/eV per atom: 0.00

---

(12)
Below is a crystal of LiHf2RuI relaxed with PBEsol, with properties calculated at the meta-GGA SCAN level.

Cell: 4.756 5.172 5.172 Å, 90.00 90.00 90.00°
Each line ends with the local moment (μB).
Positions (direct):
Li  0.500  0.500  0.500  0.00
Hf  0.000  0.000  0.500  0.05
Hf  0.000  0.500  0.000  0.05
I  0.000  0.000  0.000  0.00
Ru  0.500  0.000  0.000  0.56

Uncorrected energy, eV/atom: -38.541
Space-group type: P4/mmm
DOS(E_F), states/eV per atom: 1.05

---

Copy entry 10 word for word.
Below is a crystal of LiHfI2N relaxed with PBEsol, with properties calculated at the meta-GGA SCAN level.

Cell: 3.987 5.809 5.809 Å, 90.00 90.00 90.00°
Each line ends with the local moment (μB).
Positions (direct):
I  0.000  0.500  0.000  0.00
I  0.000  0.000  0.500  0.00
Hf  0.000  0.000  0.000  0.02
N  0.500  0.000  0.000  0.07
Li  0.500  0.500  0.500  0.00

Uncorrected energy, eV/atom: -30.165
Space-group type: P4/mmm
DOS(E_F), states/eV per atom: 0.25

---

- Which value of DOS(E_F) does entry 1 give?
  0.66 states/eV per atom

---

- Look up the DOS(E_F) of the first one.
  0.66 states/eV per atom

---

- Which of these has the lowest DOS(E_F)?
  LiHfIO2